A plane-wave DFT calculation with PBE was carried out for a relaxed AcTb2Ag crystal. Values from VASP.

Quantum ESPRESSO input file:
```
&SYSTEM
  ibrav = 0, nat = 4, ntyp = 3
/
ATOMIC_SPECIES
Ac 227.00 Ac.upf
Tb 158.93 Tb.upf
Ag 107.87 Ag.upf
CELL_PARAMETERS angstrom
0.0000 3.9447 3.9447
3.9447 0.0000 3.9447
3.9447 3.9447 0.0000
ATOMIC_POSITIONS angstrom
Ac 0.0000 0.0000 0.0000
Tb 1.9723 1.9723 1.9723
Tb 5.9170 5.9170 5.9170
Ag 3.9447 3.9447 3.9447
```

Calculated values
VASP energy in eV for the cell shown: -15.5
Size of the total moment in μB per atom: 0.00
DFT formation energy in eV/atom: 0.17